Computed, not measured: crystalline TbPr2Y3As6 at its relaxed geometry at the GGA-PBE level of DFT.

Summary:
* energy of formation from the pure elements: -1.526 eV/atom

a b c (Å): 4.1920 8.3751 9.3645
angles (deg): 102.88 102.93 90.00
Closest atoms and distances in Å follow each position.
Fractional coordinates of all 12 atoms:
As: 0.3357 0.4107 0.6714  3 Y 2.92, 3 Pr 3.01-3.02
As: 0.3337 0.9245 0.6673  3 Y 2.92-2.96, 1 Tb 2.96, 2 Pr 3.00
As: 0.0028 0.7514 0.0057  3 Y 2.92-2.96, 2 Tb 2.96, 1 Pr 3.00
As: 0.6643 0.5893 0.3286  3 Y 2.92, 3 Pr 3.01-3.02
As: 0.9972 0.2486 0.9943  3 Y 2.92-2.96, 2 Tb 2.96, 1 Pr 3.00
As: 0.6663 0.0755 0.3327  3 Y 2.92-2.96, 1 Tb 2.96, 2 Pr 3.00
Y: 0.8329 0.1661 0.6658  6 As 2.92-2.96
Y: 0.1671 0.8339 0.3342  6 As 2.92-2.96
Y: 0.5000 0.5000 0.0000  6 As 2.92-2.96
Tb: 0.5000 0.0000 0.0000  6 As 2.96
Pr: 0.1657 0.3319 0.3315  6 As 3.00-3.02
Pr: 0.8343 0.6681 0.6685  6 As 3.00-3.02

Computed, not measured: crystalline MnTeP2 at its relaxed geometry at the GGA-PBE level of DFT.

Summary:
* uncorrected formation energy: 2.29 eV/f.u.

a b c (Å): 4.6495 4.6495 3.4312
angles (deg): 90.00 90.00 101.61
Closest atoms and distances in Å follow each position.
Fractional coordinates of all 4 atoms:
Mn: 0.0000 0.5000 0.5000  8 P 2.89, 2 Te 2.94
P: 0.0000 0.0000 0.0000  4 Te 2.89, 4 Mn 2.89, 2 P 2.94
P: 0.5000 0.5000 0.0000  4 Mn 2.89, 4 Te 2.89, 2 P 2.94
Te: 0.5000 0.0000 0.5000  8 P 2.89, 2 Mn 2.94

Computed, not measured: crystalline ReAgSb2 at its relaxed geometry at the GGA-PBE level of DFT.

Summary:
* energy above the lowest structure with this stoichiometry: 0.3214 eV per atom
* uncorrected formation energy: 2.57 eV/f.u.

a b c (Å): 3.0573 3.0573 10.4601
angles (deg): 90.00 90.00 116.08
Closest atoms and distances in Å follow each position.
Fractional coordinates of all 4 atoms:
Re: 0.5000 0.5000 0.7432  2 Sb 2.68, 2 Ag 2.83
Sb: 0.0000 0.0000 0.9479  2 Re 2.68
Sb: 0.5000 0.5000 0.2877  2 Ag 2.93, 6 Sb 3.06-3.24
Ag: 0.0000 0.0000 0.5213  2 Re 2.83, 2 Sb 2.93, 4 Ag 3.06

The calculated volume results, record by record, are as follows: 26.0; 18.2; 22.0 Å³/atom.
The theoretical density results, record by record, are as follows: 6.16; 5.59; 10.17 g cm⁻³.